The following is a PBE calculation of an optimized crystal structure of Ti2HgC, from Alexandria via LeMat-Bulk.

Energy of formation from the pure elements in eV per atom: -0.582
Magnetization in μB per cell: 0.00

a = 7.316 Å, b = 7.316 Å, c = 7.316 Å
α = 24.68°, β = 24.68°, γ = 24.68°
Positions (direct):
Ti 0.219 0.219 0.219
Ti 0.781 0.781 0.781
Hg 0.000 0.000 0.000
C 0.500 0.500 0.500

***

The following is a PBE calculation of an optimized crystal structure of TiHgC3, from Alexandria via LeMat-Bulk.

Energy above the lowest structure with this stoichiometry in kJ/mol of atoms: 108.7
Energy of formation from the pure elements in eV per atom: 3.131
Magnetization in μB per cell: 0.00

a = 4.188 Å, b = 4.188 Å, c = 4.188 Å
α = 90.00°, β = 90.00°, γ = 90.00°
Positions (direct):
Ti 0.000 0.000 0.000
Hg 0.500 0.500 0.500
C 0.000 0.500 0.500
C 0.500 0.000 0.500
C 0.500 0.500 0.000

***

The following is a PBE calculation of an optimized crystal structure of Ti3HgC, from Alexandria via LeMat-Bulk.

Energy above the lowest structure with this stoichiometry in kJ/mol of atoms: 31.1
Energy of formation from the pure elements in eV per atom: -0.170
Magnetization in μB per cell: 0.00

a = 7.633 Å, b = 7.633 Å, c = 5.463 Å
α = 90.00°, β = 90.00°, γ = 105.85°
Positions (direct):
Ti 0.046 0.954 0.769
Ti 0.153 0.347 0.750
Ti 0.226 0.774 0.455
Ti 0.274 0.726 0.955
Ti 0.347 0.153 0.250
Ti 0.454 0.546 0.269
Ti 0.546 0.454 0.731
Ti 0.653 0.847 0.750
Ti 0.726 0.274 0.045
Ti 0.774 0.226 0.545
Ti 0.847 0.653 0.250
Ti 0.954 0.046 0.231
Hg 0.085 0.415 0.250
Hg 0.415 0.085 0.750
Hg 0.585 0.915 0.250
Hg 0.915 0.585 0.750
C 0.116 0.884 0.136
C 0.384 0.616 0.636
C 0.616 0.384 0.364
C 0.884 0.116 0.864

***

The following is a PBE calculation of an optimized crystal structure of Ti3HgC, from Alexandria via LeMat-Bulk.

Energy above the lowest structure with this stoichiometry in kJ/mol of atoms: 72.3
Energy of formation from the pure elements in eV per atom: 0.257
Magnetization in μB per cell: 0.00

a = 3.414 Å, b = 3.414 Å, c = 7.615 Å
α = 90.00°, β = 90.00°, γ = 90.00°
Positions (direct):
Ti 0.000 0.000 0.000
Ti 0.000 0.500 0.713
Ti 0.500 0.000 0.713
Hg 0.000 0.000 0.375
C 0.500 0.500 0.903

***

The following is a PBE calculation of an optimized crystal structure of Ti6Hg2C, from Alexandria via LeMat-Bulk.

Energy of formation from the pure elements in eV per atom: -0.133
Magnetization in μB per cell: 0.00

a = 3.158 Å, b = 7.398 Å, c = 7.398 Å
α = 120.72°, β = 90.00°, γ = 90.00°
Positions (direct):
Ti 0.000 0.000 0.000
Ti 0.000 0.550 0.756
Ti 0.000 0.756 0.550
Ti 0.500 0.114 0.773
Ti 0.500 0.360 0.360
Ti 0.500 0.773 0.114
Hg 0.000 0.093 0.445
Hg 0.000 0.445 0.093
C 0.500 0.794 0.794

***

The following is a PBE calculation of an optimized crystal structure of TiTlHg2C, from Alexandria via LeMat-Bulk.

Energy of formation from the pure elements in eV per atom: 2.102
Magnetization in μB per cell: 0.18

a = 5.595 Å, b = 5.595 Å, c = 5.557 Å
α = 90.00°, β = 90.00°, γ = 90.00°
Positions (direct):
Ti 0.000 0.000 0.000
Tl 0.000 0.000 0.500
Hg 0.000 0.500 0.500
Hg 0.500 0.000 0.500
C 0.500 0.500 0.000

***

The following is a PBE calculation of an optimized crystal structure of ZrTiHgC, from Alexandria via LeMat-Bulk.

Energy of formation from the pure elements in eV per atom: -0.541
Magnetization in μB per cell: 0.00

a = 7.577 Å, b = 7.577 Å, c = 7.577 Å
α = 24.69°, β = 24.69°, γ = 24.69°
Positions (direct):
Zr 0.000 0.000 0.000
Ti 0.226 0.226 0.226
Hg 0.783 0.783 0.783
C 0.606 0.606 0.606

***

The following is a PBE calculation of an optimized crystal structure of ZrTi2HgC, from Alexandria via LeMat-Bulk.

Energy of formation from the pure elements in eV per atom: -0.466
Magnetization in μB per cell: 0.60

a = 4.264 Å, b = 4.264 Å, c = 4.546 Å
α = 90.00°, β = 90.00°, γ = 90.00°
Positions (direct):
Zr 0.000 0.000 0.000
Ti 0.000 0.500 0.500
Ti 0.500 0.000 0.500
Hg 0.500 0.500 0.000
C 0.000 0.000 0.500

***

The following is a PBE calculation of an optimized crystal structure of TlHg2C, from Alexandria via LeMat-Bulk.

Energy above the lowest structure with this stoichiometry in kJ/mol of atoms: 62.8
Energy of formation from the pure elements in eV per atom: 1.509
Magnetization in μB per cell: 0.82

a = 5.008 Å, b = 5.008 Å, c = 5.008 Å
α = 60.00°, β = 60.00°, γ = 60.00°
Positions (direct):
Tl 0.000 0.000 0.000
Hg 0.250 0.250 0.250
Hg 0.750 0.750 0.750
C 0.500 0.500 0.500

***

The following is a PBE calculation of an optimized crystal structure of Tl2HgC, from Alexandria via LeMat-Bulk.

Energy above the lowest structure with this stoichiometry in kJ/mol of atoms: 0.0
Energy of formation from the pure elements in eV per atom: 0.982
Magnetization in μB per cell: 0.00

a = 6.813 Å, b = 6.813 Å, c = 6.813 Å
α = 121.56°, β = 121.56°, γ = 87.31°
Positions (direct):
Tl 0.025 0.625 0.900
Tl 0.375 0.275 0.400
Tl 0.725 0.125 0.100
Tl 0.875 0.975 0.600
Hg 0.250 0.750 0.500
Hg 0.500 0.500 0.000
C 0.000 0.000 0.000
C 0.750 0.250 0.500

***

The following is a PBE calculation of an optimized crystal structure of TlHg2C, from Alexandria via LeMat-Bulk.

Energy above the lowest structure with this stoichiometry in kJ/mol of atoms: 0.0
Energy of formation from the pure elements in eV per atom: 0.858
Magnetization in μB per cell: 0.00

a = 6.910 Å, b = 6.910 Å, c = 6.910 Å
α = 60.00°, β = 60.00°, γ = 60.00°
Positions (direct):
Tl 0.125 0.125 0.125
Tl 0.875 0.875 0.875
Hg 0.000 0.500 0.500
Hg 0.500 0.000 0.500
Hg 0.500 0.500 0.000
Hg 0.500 0.500 0.500
C 0.375 0.375 0.375
C 0.625 0.625 0.625

***

The following is a PBE calculation of an optimized crystal structure of Tl3HgC, from Alexandria via LeMat-Bulk.

Energy above the lowest structure with this stoichiometry in kJ/mol of atoms: 0.0
Energy of formation from the pure elements in eV per atom: 0.867
Magnetization in μB per cell: 0.00

a = 5.134 Å, b = 5.134 Å, c = 5.134 Å
α = 90.00°, β = 90.00°, γ = 90.00°
Positions (direct):
Tl 0.000 0.000 0.500
Tl 0.000 0.500 0.000
Tl 0.500 0.000 0.000
Hg 0.500 0.500 0.500
C 0.000 0.000 0.000